# AlIn2Si (PBE, relaxed)
data_AlIn2Si
_cell_length_a 3.2115
_cell_length_b 3.2115
_cell_length_c 29.6158
_cell_angle_alpha 90.00
_cell_angle_beta 90.00
_cell_angle_gamma 120.00
_space_group_name_H-M_alt 'R 3 m'
_space_group_IT_number 160
_space_group_name_Hall 'R 3 -2"'
loop_
_atom_site_label
_atom_site_fract_x
_atom_site_fract_y
_atom_site_fract_z
Al1 0.0000 0.0000 0.0000
In1 0.0000 0.0000 0.2477
In2 0.0000 0.0000 0.4791
Si1 0.0000 0.0000 0.7286
# Energy relative to the elements, uncorrected: 0.2500 eV per atom
# Electronic total energy: -0.1253 Ha/atom
# Calculated volume: 22.0 Å³ per atom
# Crystal system: trigonal